No. 1
A plane-wave DFT calculation with GGA-PBE was carried out for a geometry-optimized LiCdCo2 structure.

Unit cell a=2.642 b=4.503 c=4.616 alpha=90.00 beta=95.71 gamma=90.00
Sites, in units of the cell vectors:
Li: 0.000 0.000 0.000
Cd: 0.500 0.000 0.500
Co: 0.198 0.500 0.769
Co: 0.802 0.500 0.231

Output
ΔH_f (0 K): 249 meV per atom



No. 2
A plane-wave DFT calculation with GGA-PBE was carried out for a geometry-optimized LiCdCo2 structure.

Unit cell a=2.654 b=2.654 c=8.088 alpha=90.00 beta=90.00 gamma=90.00
Sites, in units of the cell vectors:
Li: 0.000 0.000 0.000
Cd: 0.000 0.000 0.500
Co: 0.500 0.500 0.238
Co: 0.500 0.500 0.762

Output
ΔH_f (0 K): 420 meV per atom



No. 3
A plane-wave DFT calculation with GGA-PBE was carried out for a geometry-optimized Li2CdCo2 structure.

Unit cell a=7.231 b=7.231 c=2.703 alpha=90.00 beta=90.00 gamma=90.00
Sites, in units of the cell vectors:
Li: 0.184 0.316 0.000
Li: 0.316 0.816 0.000
Li: 0.684 0.184 0.000
Li: 0.816 0.684 0.000
Cd: 0.000 0.000 0.500
Cd: 0.500 0.500 0.500
Co: 0.107 0.607 0.500
Co: 0.393 0.107 0.500
Co: 0.607 0.893 0.500
Co: 0.893 0.393 0.500

Output
Energy above the lowest structure with this stoichiometry: 0 meV/atom
ΔH_f (0 K): 280 meV per atom



No. 4
A plane-wave DFT calculation with GGA-PBE was carried out for a geometry-optimized LiCdCo2 structure.

Unit cell a=5.010 b=5.010 c=3.925 alpha=112.98 beta=112.98 gamma=36.71
Sites, in units of the cell vectors:
Li: 0.000 0.000 0.000
Cd: 0.500 0.500 0.500
Co: 0.254 0.254 0.755
Co: 0.746 0.746 0.245

Output
ΔH_f (0 K): 210 meV per atom



No. 5
A plane-wave DFT calculation with GGA-PBE was carried out for a geometry-optimized LiCdCo2 structure.

Unit cell a=4.229 b=4.229 c=4.229 alpha=119.63 beta=119.63 gamma=90.65
Sites, in units of the cell vectors:
Li: 0.000 0.000 0.000
Cd: 0.750 0.250 0.500
Co: 0.250 0.750 0.500
Co: 0.500 0.500 0.000

Output
ΔH_f (0 K): 200 meV per atom



No. 6
A plane-wave DFT calculation with GGA-PBE was carried out for a geometry-optimized LiCdCo2 structure.

Unit cell a=4.459 b=4.459 c=4.868 alpha=98.34 beta=98.34 gamma=35.19
Sites, in units of the cell vectors:
Li: 0.000 0.000 0.000
Cd: 0.759 0.759 0.242
Co: 0.245 0.245 0.726
Co: 0.510 0.510 0.561

Output
ΔH_f (0 K): 215 meV per atom



No. 7
A plane-wave DFT calculation with GGA-PBE was carried out for a geometry-optimized LiCdCo2 structure.

Unit cell a=5.232 b=5.232 c=2.645 alpha=102.30 beta=102.30 gamma=122.17
Sites, in units of the cell vectors:
Li: 0.000 0.000 0.000
Cd: 0.500 0.500 0.000
Co: 0.000 0.500 0.500
Co: 0.500 0.000 0.500

Output
ΔH_f (0 K): 265 meV per atom



No. 8
A plane-wave DFT calculation with GGA-PBE was carried out for a geometry-optimized LiCdCo2 structure.

Unit cell a=2.972 b=4.087 c=4.435 alpha=90.00 beta=90.00 gamma=90.00
Sites, in units of the cell vectors:
Li: 0.000 0.000 0.000
Cd: 0.500 0.500 0.000
Co: 0.000 0.500 0.500
Co: 0.500 0.000 0.500

Output
ΔH_f (0 K): 208 meV per atom



No. 9
A plane-wave DFT calculation with GGA-PBE was carried out for a geometry-optimized LiCd2Co structure.

Unit cell a=2.860 b=4.158 c=5.672 alpha=90.00 beta=90.00 gamma=90.00
Sites, in units of the cell vectors:
Li: 0.000 0.000 0.000
Cd: 0.000 0.000 0.545
Cd: 0.500 0.500 0.235
Co: 0.500 0.500 0.756

Output
ΔH_f (0 K): 149 meV per atom



No. 10
A plane-wave DFT calculation with GGA-PBE was carried out for a geometry-optimized LiCd2Co structure.

Unit cell a=3.195 b=3.195 c=6.506 alpha=90.00 beta=90.00 gamma=90.00
Sites, in units of the cell vectors:
Li: 0.000 0.000 0.000
Cd: 0.000 0.000 0.570
Cd: 0.500 0.500 0.244
Co: 0.500 0.500 0.806

Output
ΔH_f (0 K): 173 meV per atom



No. 11
A plane-wave DFT calculation with GGA-PBE was carried out for a geometry-optimized Li2Cd2Co structure.

Unit cell a=7.445 b=7.445 c=3.026 alpha=90.00 beta=90.00 gamma=90.00
Sites, in units of the cell vectors:
Li: 0.156 0.344 0.000
Li: 0.344 0.844 0.000
Li: 0.656 0.156 0.000
Li: 0.844 0.656 0.000
Cd: 0.146 0.646 0.500
Cd: 0.354 0.146 0.500
Cd: 0.646 0.854 0.500
Cd: 0.854 0.354 0.500
Co: 0.000 0.000 0.500
Co: 0.500 0.500 0.500

Output
Energy above the lowest structure with this stoichiometry: 3 meV/atom
ΔH_f (0 K): 200 meV per atom



No. 12
A plane-wave DFT calculation with GGA-PBE was carried out for a geometry-optimized LiCdCo2 structure.

Unit cell a=2.623 b=4.158 c=5.086 alpha=90.00 beta=90.00 gamma=90.00
Sites, in units of the cell vectors:
Li: 0.000 0.000 0.000
Cd: 0.000 0.000 0.500
Co: 0.500 0.500 0.228
Co: 0.500 0.500 0.772

Output
ΔH_f (0 K): 293 meV per atom



No. 13
A plane-wave DFT calculation with GGA-PBE was carried out for a geometry-optimized LiCd2Co structure.

Unit cell a=4.568 b=4.568 c=3.071 alpha=90.00 beta=90.00 gamma=90.00
Sites, in units of the cell vectors:
Li: 0.000 0.000 0.000
Cd: 0.000 0.500 0.500
Cd: 0.500 0.000 0.500
Co: 0.500 0.500 0.000

Output
ΔH_f (0 K): 39 meV per atom



No. 14
A plane-wave DFT calculation with GGA-PBE was carried out for a geometry-optimized LiCd2Co structure.

Unit cell a=4.753 b=4.753 c=5.409 alpha=96.69 beta=96.69 gamma=34.44
Sites, in units of the cell vectors:
Li: 0.000 0.000 0.000
Cd: 0.242 0.242 0.742
Cd: 0.758 0.758 0.258
Co: 0.500 0.500 0.500

Output
ΔH_f (0 K): 163 meV per atom



No. 15
A plane-wave DFT calculation with GGA-PBE was carried out for a geometry-optimized LiCdCo2 structure.

Unit cell a=9.678 b=9.678 c=9.678 alpha=159.06 beta=159.06 gamma=29.79
Sites, in units of the cell vectors:
Li: 0.000 0.000 0.000
Li: 0.750 0.250 0.500
Cd: 0.250 0.750 0.500
Cd: 0.500 0.500 0.000
Co: 0.104 0.625 0.979
Co: 0.375 0.354 0.479
Co: 0.646 0.125 0.021
Co: 0.875 0.896 0.521

Output
ΔH_f (0 K): 421 meV per atom



No. 16
A plane-wave DFT calculation with GGA-PBE was carried out for a geometry-optimized LiCdCo2 structure.

Unit cell a=4.989 b=4.989 c=4.989 alpha=144.26 beta=127.37 gamma=65.26
Sites, in units of the cell vectors:
Li: 0.000 0.000 0.000
Cd: 0.270 0.770 0.500
Co: 0.540 0.540 0.000
Co: 0.740 0.240 0.500

Output
ΔH_f (0 K): 236 meV per atom



No. 17
A plane-wave DFT calculation with GGA-PBE was carried out for a geometry-optimized LiCd2Co structure.

Unit cell a=5.148 b=5.148 c=4.753 alpha=105.40 beta=105.40 gamma=33.18
Sites, in units of the cell vectors:
Li: 0.000 0.000 0.000
Cd: 0.529 0.529 0.536
Cd: 0.759 0.759 0.179
Co: 0.273 0.273 0.686

Output
ΔH_f (0 K): 108 meV per atom



No. 18
A plane-wave DFT calculation with GGA-PBE was carried out for a geometry-optimized LiCdCo2 structure.

Unit cell a=3.102 b=3.102 c=5.669 alpha=90.00 beta=90.00 gamma=90.00
Sites, in units of the cell vectors:
Li: 0.000 0.000 0.000
Cd: 0.000 0.000 0.500
Co: 0.500 0.500 0.200
Co: 0.500 0.500 0.800

Output
ΔH_f (0 K): 361 meV per atom



No. 19
A plane-wave DFT calculation with GGA-PBE was carried out for a geometry-optimized LiCd2Co structure.

Unit cell a=4.556 b=4.556 c=4.556 alpha=60.00 beta=60.00 gamma=60.00
Sites, in units of the cell vectors:
Li: 0.000 0.000 0.000
Cd: 0.250 0.250 0.250
Cd: 0.500 0.500 0.500
Co: 0.750 0.750 0.750

Output
ΔH_f (0 K): 183 meV per atom



No. 20
A plane-wave DFT calculation with GGA-PBE was carried out for a geometry-optimized Li2CdCo2 structure.

Unit cell a=4.936 b=4.936 c=4.936 alpha=126.30 beta=126.30 gamma=79.39
Sites, in units of the cell vectors:
Li: 0.250 0.750 0.500
Li: 0.750 0.250 0.500
Cd: 0.000 0.000 0.000
Co: 0.360 0.360 0.000
Co: 0.640 0.640 0.000

Output
Energy above the lowest structure with this stoichiometry: 222 meV/atom
ΔH_f (0 K): 502 meV per atom



No. 21
A plane-wave DFT calculation with GGA-PBE was carried out for a geometry-optimized Li3CdCo structure.

Unit cell a=4.575 b=4.575 c=4.575 alpha=90.00 beta=90.00 gamma=90.00
Sites, in units of the cell vectors:
Li: 0.000 0.000 0.500
Li: 0.000 0.500 0.000
Li: 0.500 0.000 0.000
Cd: 0.500 0.500 0.500
Co: 0.000 0.000 0.000

Output
Energy above the lowest structure with this stoichiometry: 0 meV/atom
ΔH_f (0 K): 484 meV per atom



No. 22
A plane-wave DFT calculation with GGA-PBE was carried out for a geometry-optimized LiCd2Co structure.

Unit cell a=9.721 b=9.721 c=9.721 alpha=155.93 beta=155.93 gamma=34.30
Sites, in units of the cell vectors:
Li: 0.000 0.000 0.000
Li: 0.750 0.250 0.500
Cd: 0.132 0.625 0.007
Cd: 0.375 0.382 0.507
Cd: 0.618 0.125 0.993
Cd: 0.875 0.868 0.493
Co: 0.250 0.750 0.500
Co: 0.500 0.500 0.000

Output
ΔH_f (0 K): 418 meV per atom



No. 23
A plane-wave DFT calculation with GGA-PBE was carried out for a geometry-optimized LiCd2Co structure.

Unit cell a=9.510 b=9.510 c=9.510 alpha=17.63 beta=17.63 gamma=17.63
Sites, in units of the cell vectors:
Li: 0.000 0.000 0.000
Cd: 0.246 0.246 0.246
Cd: 0.754 0.754 0.754
Co: 0.500 0.500 0.500

Output
ΔH_f (0 K): 132 meV per atom



No. 24
A plane-wave DFT calculation with GGA-PBE was carried out for a geometry-optimized Li4CdCo structure.

Unit cell a=5.005 b=5.005 c=5.005 alpha=60.00 beta=60.00 gamma=60.00
Sites, in units of the cell vectors:
Li: 0.376 0.376 0.376
Li: 0.376 0.376 0.872
Li: 0.376 0.872 0.376
Li: 0.872 0.376 0.376
Cd: 0.000 0.000 0.000
Co: 0.750 0.750 0.750

Output
ΔH_f (0 K): 225 meV per atom



No. 25
A plane-wave DFT calculation with GGA-PBE was carried out for a geometry-optimized LiCdCo2 structure.

Unit cell a=9.288 b=9.288 c=9.288 alpha=16.61 beta=16.61 gamma=16.61
Sites, in units of the cell vectors:
Li: 0.000 0.000 0.000
Cd: 0.500 0.500 0.500
Co: 0.254 0.254 0.254
Co: 0.746 0.746 0.746

Output
ΔH_f (0 K): 373 meV per atom



No. 26
A plane-wave DFT calculation with GGA-PBE was carried out for a geometry-optimized LiCd3Co structure.

Unit cell a=4.963 b=4.963 c=4.963 alpha=90.00 beta=90.00 gamma=90.00
Sites, in units of the cell vectors:
Li: 0.000 0.000 0.000
Cd: 0.000 0.500 0.500
Cd: 0.500 0.000 0.500
Cd: 0.500 0.500 0.000
Co: 0.500 0.500 0.500

Output
Energy above the lowest structure with this stoichiometry: 0 meV/atom
ΔH_f (0 K): 258 meV per atom



No. 27
A plane-wave DFT calculation with GGA-PBE was carried out for a geometry-optimized Li2Cd2Co structure.

Unit cell a=6.451 b=6.451 c=3.816 alpha=90.00 beta=90.00 gamma=90.00
Sites, in units of the cell vectors:
Li: 0.131 0.369 0.000
Li: 0.369 0.869 0.000
Li: 0.631 0.131 0.000
Li: 0.869 0.631 0.000
Cd: 0.180 0.680 0.500
Cd: 0.320 0.180 0.500
Cd: 0.680 0.820 0.500
Cd: 0.820 0.320 0.500
Co: 0.000 0.000 0.000
Co: 0.500 0.500 0.000

Output
Energy above the lowest structure with this stoichiometry: 0 meV/atom
ΔH_f (0 K): 196 meV per atom



No. 28
A plane-wave DFT calculation with GGA-PBE was carried out for a geometry-optimized LiCdCo2 structure.

Unit cell a=2.917 b=2.944 c=6.578 alpha=90.00 beta=90.00 gamma=90.00
Sites, in units of the cell vectors:
Li: 0.000 0.000 0.000
Cd: 0.500 0.500 0.706
Co: 0.000 0.000 0.414
Co: 0.500 0.500 0.244

Output
ΔH_f (0 K): 110 meV per atom



No. 29
A plane-wave DFT calculation with GGA-PBE was carried out for a geometry-optimized LiCdCo2 structure.

Unit cell a=2.631 b=2.631 c=8.826 alpha=90.00 beta=90.00 gamma=110.16
Sites, in units of the cell vectors:
Li: 0.000 0.000 0.000
Cd: 0.000 0.000 0.500
Co: 0.500 0.500 0.239
Co: 0.500 0.500 0.761

Output
ΔH_f (0 K): 402 meV per atom



no.,DOS at the Fermi energy (states/eV per atom),size of the total moment (μB per formula unit),DFT total energy (eV per atom)
1,0.862,3.04,-4.011
2,1.109,3.09,-3.840
3,0.884,2.97,-3.511
4,0.883,3.15,-4.050
5,0.734,2.98,-4.060
6,0.883,2.90,-4.045
7,0.869,3.03,-3.995
8,0.851,3.05,-4.053
9,0.849,1.38,-2.563
10,1.460,1.38,-2.539
11,0.902,1.53,-2.353
12,1.054,3.10,-3.967
13,0.730,1.03,-2.673
14,0.745,1.36,-2.549
15,0.656,3.33,-3.839
16,0.952,2.99,-4.024
17,0.754,1.36,-2.605
18,0.992,2.83,-3.899
19,1.322,1.29,-2.530
20,1.077,2.58,-3.289
21,1.141,0.87,-2.268
22,0.657,1.19,-2.294
23,0.719,1.40,-2.580
24,1.301,1.20,-2.388
25,0.793,3.15,-3.887
26,0.484,0.00,-2.095
27,0.764,1.29,-2.356
28,0.694,3.18,-4.150
29,0.870,3.22,-3.858